Material: DyHoNi2
Method: DFT, PBE
State: optimized geometry

a b c (Å): 4.1861 3.7339 10.1403
angles (deg): 90.00 90.00 90.00
Last column: nearest neighbours and their distance in Å.
Sites, in units of the cell vectors:
Dy 0.0000 0.0000 0.0000  7 Ni 2.85-2.92
Dy 0.0000 0.5000 0.5000  7 Ni 2.85-2.92
Ho 0.5000 0.0000 0.2788  7 Ni 2.84-2.93
Ho 0.5000 0.5000 0.7788  7 Ni 2.84-2.93
Ni 0.0000 0.0000 0.7123  2 Ni 2.56, 2 Dy 2.85
Ni 0.0000 0.5000 0.2123  2 Ni 2.56, 2 Dy 2.85
Ni 0.5000 0.0000 0.5676  2 Ni 2.56, 2 Ho 2.84
Ni 0.5000 0.5000 0.0676  2 Ni 2.56, 2 Ho 2.84

formation energy = -0.47 eV per atom
SG = Amm2 (38)
Fermi-level density of states = 2.39 states/eV/f.u.